1 | VASP calculation (GGA-PBE) on a relaxed LaPm2Nd8 crystal.

The space group is C2/m (No. 12) and the conventional cell measures 19.647, 7.166 and 5.755 Å, with angles of 90.00, 93.55 and 90.00 degrees. Symmetry generates all atoms from La at (0.000, 0.000, 0.000), Pm at (0.216, 0.500, 0.256), Nd at (0.045, 0.500, 0.239), Nd at (0.131, 0.267, 0.732) and Nd at (0.187, 0.000, 0.231).

The calculation puts the calculated volume at 36.76 A^3/atom.

2 | VASP calculation (GGA-PBE) on a relaxed LaPm2Nd8 crystal.

The space group is C2/m (No. 12) and the conventional cell measures 18.766, 5.209 and 8.246 Å, with angles of 90.00, 105.25 and 90.00 degrees. Symmetry generates all atoms from La at (0.000, 0.000, 0.000), Pm at (0.228, 0.500, 0.636), Nd at (0.046, 0.500, 0.727), Nd at (0.091, 0.000, 0.457), Nd at (0.137, 0.500, 0.184) and Nd at (0.182, 0.000, 0.909).

The calculation puts the calculated volume at 35.35 A^3/atom.

Of them, 1 has the lowest stability.